Compound: NaH5SO4
Source: Alexandria
Functional: PBEsol
Structure: optimized geometry

Results
E_tot ... -5.1201 eV per atom

abc: 5.885 7.506 21.005
angles: 90.00 90.00 104.12
Fractional positions:
O 0.069 0.669 0.156
O 0.902 0.217 0.187
O 0.205 0.665 0.697
O 0.378 0.905 0.229
O 0.795 0.335 0.303
O 0.623 0.364 0.631
O 0.346 0.749 0.019
O 0.098 0.783 0.813
O 0.654 0.751 0.519
O 0.622 0.595 0.729
O 0.205 0.165 0.803
O 0.931 0.831 0.656
O 0.655 0.063 0.370
O 0.345 0.437 0.870
O 0.378 0.405 0.271
O 0.795 0.835 0.197
O 0.345 0.937 0.630
O 0.346 0.249 0.481
O 0.377 0.636 0.369
O 0.655 0.563 0.130
O 0.623 0.864 0.869
O 0.654 0.251 0.981
O 0.135 0.899 0.447
O 0.098 0.283 0.687
O 0.902 0.717 0.313
O 0.069 0.169 0.344
O 0.622 0.095 0.771
O 0.931 0.331 0.844
O 0.865 0.601 0.947
O 0.377 0.136 0.131
O 0.135 0.399 0.053
O 0.865 0.101 0.553
H 0.785 0.973 0.540
H 0.764 0.686 0.539
H 0.255 0.309 0.293
H 0.497 0.700 0.538
H 0.527 0.871 0.219
H 0.882 0.582 0.310
H 0.497 0.200 0.962
H 0.473 0.629 0.719
H 0.764 0.186 0.961
H 0.145 0.244 0.729
H 0.236 0.572 0.393
H 0.745 0.691 0.707
H 0.618 0.943 0.830
H 0.503 0.800 0.038
H 0.785 0.473 0.960
H 0.215 0.027 0.460
H 0.149 0.820 0.484
H 0.473 0.129 0.781
H 0.118 0.918 0.810
H 0.764 0.428 0.607
H 0.618 0.443 0.670
H 0.851 0.680 0.984
H 0.764 0.928 0.893
H 0.745 0.191 0.793
H 0.503 0.300 0.462
H 0.236 0.814 0.039
H 0.855 0.256 0.229
H 0.855 0.756 0.271
H 0.236 0.314 0.461
H 0.851 0.180 0.516
H 0.382 0.557 0.330
H 0.236 0.072 0.107
H 0.255 0.809 0.207
H 0.882 0.082 0.190
H 0.145 0.744 0.771
H 0.215 0.527 0.040
H 0.527 0.371 0.281
H 0.382 0.057 0.170
H 0.149 0.320 0.016
H 0.118 0.418 0.690
Na 0.260 0.215 0.591
Na 0.269 0.411 0.161
Na 0.731 0.089 0.661
Na 0.740 0.285 0.091
Na 0.731 0.589 0.839
Na 0.740 0.785 0.409
Na 0.260 0.715 0.909
Na 0.269 0.911 0.339
S 0.895 0.890 0.064
S 0.850 0.223 0.358
S 0.105 0.610 0.564
S 0.150 0.277 0.858
S 0.105 0.110 0.936
S 0.850 0.723 0.142
S 0.150 0.777 0.642
S 0.895 0.390 0.436